Er2TmSn3Pt3: relaxed, PBE.

Output
electronic total energy = -107.2 eV for the cell shown
total magnetization = 0.00 μB/cell

Lattice parameters (Å, degrees): 3.993 12.936 7.479 90.00 90.00 90.00
Space group Amm2 (No. 38)
Unique sites:
Er (0.000, 0.203, 0.000)
Tm (0.000, 0.000, 0.608)
Sn (0.500, 0.000, 0.943)
Sn (0.500, 0.130, 0.333)
Pt (0.000, 0.000, 0.203)
Pt (0.500, 0.166, 0.702)

HgOsO3: relaxed, PBE.

Output
electronic total energy = -59.3 eV for the cell shown
total magnetization = 3.46 μB/cell

Lattice parameters (Å, degrees): 5.2535 5.2535 7.4374 90.00 90.00 120.00
Space group P-31m (No. 162)
Unique sites:
Hg (0.0000, 0.0000, 0.1743)
Os (0.3333, 0.6667, 0.5000)
O (0.0000, 0.3784, 0.6417)

NiW4C2S: relaxed, PBE.

Output
electronic total energy = -78.5 eV for the cell shown
total magnetization = 0.00 μB/cell

Lattice parameters (Å, degrees): 3.1071 3.1071 12.3548 90.00 90.00 120.00
Space group P-6m2 (No. 187)
Unique sites:
Ni (0.0000, 0.0000, 0.0000)
W (0.0000, 0.0000, 0.3431)
W (0.6667, 0.3333, 0.1582)
C (0.3333, 0.6667, 0.2506)
S (0.6667, 0.3333, 0.5000)

Tl3Mo4W2C3: relaxed, PBE.

Output
electronic total energy = -404.1 eV for the cell shown
total magnetization = 0.00 μB/cell

Lattice parameters (Å, degrees): 9.558 5.507 14.381 90.00 102.80 90.00
Space group C2/c (No. 15)
Unique sites:
Tl (0.000, 0.084, 0.250)
Tl (0.166, 0.417, 0.749)
Mo (0.109, 0.075, 0.579)
Mo (0.219, 0.087, 0.921)
W (0.061, 0.412, 0.424)
C (0.082, 0.256, 0.000)
C (0.250, 0.250, 0.500)

GdSi2TcAg: relaxed, PBE.

Output
electronic total energy = -61.8 eV for the cell shown
total magnetization = 0.02 μB/cell

Lattice parameters (Å, degrees): 4.124 4.124 10.381 90.00 90.00 90.00
Space group I-4m2 (No. 119)
Unique sites:
Gd (0.000, 0.000, 0.000)
Si (0.000, 0.000, 0.384)
Tc (0.000, 0.500, 0.250)
Ag (0.000, 0.500, 0.750)

NdY2Zn4Si4: relaxed, PBE.

Output
electronic total energy = -100.8 eV for the cell shown
total magnetization = 0.02 μB/cell

Lattice parameters (Å, degrees): 4.073 4.117 24.699 90.00 90.00 90.00
Space group Immm (No. 71)
Unique sites:
Nd (0.000, 0.000, 0.000)
Y (0.000, 0.500, 0.144)
Zn (0.000, 0.000, 0.250)
Zn (0.000, 0.500, 0.405)
Si (0.000, 0.000, 0.452)
Si (0.000, 0.500, 0.310)

Hf2CuPb3: relaxed, PBE.

Output
electronic total energy = -33.5 eV for the cell shown
total magnetization = 0.01 μB/cell

Lattice parameters (Å, degrees): 3.512 3.512 11.129 90.00 90.00 90.00
Space group P4mm (No. 99)
Unique sites:
Hf (0.000, 0.000, 0.000)
Hf (0.500, 0.500, 0.454)
Cu (0.000, 0.000, 0.331)
Pb (0.000, 0.000, 0.627)
Pb (0.500, 0.500, 0.182)
Pb (0.500, 0.500, 0.830)

GdCdCu: relaxed, PBE.

Output
energy relative to the lowest polymorph listed for this composition = 0.20 eV/f.u.
total magnetization = 0.01 μB/cell

Lattice parameters (Å, degrees): 4.6494 4.6494 6.8501 90.00 90.00 120.00
Space group P6_3/mmc (No. 194)
Unique sites:
Gd (0.0000, 0.0000, 0.0000)
Cd (0.3333, 0.6667, 0.2500)
Cu (0.3333, 0.6667, 0.7500)

So what do the calculations give for calculated volume? Going down the list: 21.46 17.78 12.91 15.38 17.65 18.82 22.88 21.37 Å³ per atom.
So what do the calculations give for calculated density? Going down the list: 12.4 8.2 13.7 12.6 7.9 5.6 12.6 8.6 g cm⁻³.